The following is a DFT calculation (PBE) of a geometry-optimized Li2In2Pb structure.

Computed properties:
polymorph energy (0 for the lowest one): 0.11 eV per formula unit
space group: P4/mbm, No. 127
calculated density: 6.553 g/cm3

```
Li2In2Pb
1.0
8.132 0.000 0.000
0.000 8.132 0.000
0.000 0.000 3.454
Li In Pb
4 4 2
direct
0.140 0.360 0.000
0.360 0.860 0.000
0.640 0.140 0.000
0.860 0.640 0.000
0.156 0.656 0.500
0.344 0.156 0.500
0.656 0.844 0.500
0.844 0.344 0.500
0.000 0.000 0.000
0.500 0.500 0.000
```


The following is a DFT calculation (PBE) of a geometry-optimized ScW2Cl structure.

Computed properties:
polymorph energy (0 for the lowest one): 3.32 eV per formula unit
space group: I-4m2, No. 119
calculated density: 10.655 g/cm3
energy relative to the elements, uncorrected: 0.728 eV per atom

```
ScW2Cl
1.0
-2.198 2.198 3.613
2.198 -2.198 3.613
2.198 2.198 -3.613
Sc W Cl
1 2 1
direct
0.000 0.000 0.000
0.250 0.750 0.500
0.500 0.500 0.000
0.750 0.250 0.500
```


The following is a DFT calculation (PBE) of a geometry-optimized AlTl2Au structure.

Computed properties:
polymorph energy (0 for the lowest one): 0.96 eV per formula unit
space group: P4/mmm, No. 123
calculated density: 10.817 g/cm3

```
AlTl2Au
1.0
3.837 0.000 0.000
0.000 3.837 0.000
0.000 0.000 6.598
Al Tl Au
1 2 1
direct
0.000 0.000 0.000
0.500 0.500 0.258
0.500 0.500 0.742
0.000 0.000 0.500
```


The following is a DFT calculation (PBE) of a geometry-optimized BaY2Sc structure.

Computed properties:
polymorph energy (0 for the lowest one): 0.20 eV per formula unit
space group: R-3m, No. 166
calculated density: 4.344 g/cm3

```
BaY2Sc
1.0
1.826 1.054 11.923
-1.826 1.054 11.923
0.000 -2.108 11.923
Ba Y Sc
1 2 1
direct
0.000 0.000 0.000
0.240 0.240 0.240
0.760 0.760 0.760
0.500 0.500 0.500
```


The following is a DFT calculation (PBE) of a geometry-optimized CsReSn3 structure.

Computed properties:
polymorph energy (0 for the lowest one): 13.33 eV per formula unit
space group: Pm-3m, No. 221
calculated density: 5.706 g/cm3

```
CsReSn3
1.0
5.814 0.000 0.000
0.000 5.814 0.000
0.000 0.000 5.814
Cs Re Sn
1 1 3
direct
0.000 0.000 0.000
0.500 0.500 0.500
0.000 0.000 0.500
0.000 0.500 0.000
0.500 0.000 0.000
```


The following is a DFT calculation (PBE) of a geometry-optimized ScNbTeN2 structure.

Computed properties:
polymorph energy (0 for the lowest one): 0.00 eV per formula unit
space group: P4/mmm, No. 123
calculated density: 5.183 g/cm3
energy relative to the elements, uncorrected: -0.057 eV per atom

```
ScNbTeN2
1.0
4.088 0.000 0.000
0.000 4.088 0.000
0.000 0.000 5.627
Sc Nb Te N
1 1 1 2
direct
0.000 0.000 0.000
0.500 0.500 0.500
0.500 0.500 0.000
0.000 0.500 0.500
0.500 0.000 0.500
```


The following is a DFT calculation (PBE) of a geometry-optimized HfZnS3 structure.

Computed properties:
polymorph energy (0 for the lowest one): 3.05 eV per formula unit
space group: Pm-3m, No. 221
calculated density: 4.723 g/cm3
energy relative to the elements, uncorrected: -0.433 eV per atom

```
HfZnS3
1.0
4.927 0.000 0.000
0.000 4.927 0.000
0.000 0.000 4.927
Hf Zn S
1 1 3
direct
0.000 0.000 0.000
0.500 0.500 0.500
0.000 0.000 0.500
0.000 0.500 0.000
0.500 0.000 0.000
```


The following is a DFT calculation (PBE) of a geometry-optimized AuSe2BrO structure.

Computed properties:
polymorph energy (0 for the lowest one): 0.00 eV per formula unit
space group: P4/mmm, No. 123
calculated density: 7.673 g/cm3
energy relative to the elements, uncorrected: 0.727 eV per atom

```
AuSe2BrO
1.0
4.490 0.000 0.000
0.000 4.490 0.000
0.000 0.000 4.840
Au Se Br O
1 2 1 1
direct
0.000 0.000 0.000
0.000 0.500 0.500
0.500 0.000 0.500
0.500 0.500 0.000
0.500 0.500 0.500
```


The following is a DFT calculation (PBE) of a geometry-optimized ScSeBr structure.

Computed properties:
space group: P3m1, No. 156
calculated density: 3.826 g/cm3
energy relative to the elements, uncorrected: -1.680 eV per atom

```
ScSeBr
1.0
3.871 0.000 0.000
-1.936 3.353 0.000
0.000 0.000 6.815
Sc Se Br
1 1 1
direct
0.000 0.000 0.000
0.667 0.333 0.201
0.333 0.667 0.746
```


The following is a DFT calculation (PBE) of a geometry-optimized CaTl3Zn structure.

Computed properties:
polymorph energy (0 for the lowest one): 2.48 eV per formula unit
space group: Pm-3m, No. 221
calculated density: 5.387 g/cm3

```
CaTl3Zn
1.0
6.051 0.000 0.000
0.000 6.051 0.000
0.000 0.000 6.051
Ca Tl Zn
1 3 1
direct
0.000 0.000 0.000
0.000 0.000 0.500
0.000 0.500 0.000
0.500 0.000 0.000
0.500 0.500 0.500
```


The following is a DFT calculation (PBE) of a geometry-optimized Pr5Er6Tm structure.

Computed properties:
E_tot: -4.622 eV per atom
space group: Immm, No. 71
calculated density: 7.932 g/cm3

```
Pr5Er6Tm
1.0
-2.554 5.024 7.655
2.554 -5.024 7.655
2.554 5.024 -7.655
Pr Er Tm
5 6 1
direct
0.000 0.000 0.000
0.167 0.667 0.500
0.336 0.336 0.000
0.664 0.664 0.000
0.833 0.333 0.500
0.085 0.834 0.251
0.252 0.500 0.752
0.417 0.166 0.251
0.583 0.834 0.749
0.748 0.500 0.248
0.915 0.166 0.749
0.500 0.000 0.500
```


The following is a DFT calculation (PBE) of a geometry-optimized BaPdC structure.

Computed properties:
E_tot: -4.856 eV per atom
space group: Pm, No. 6
calculated density: 5.812 g/cm3

```
BaPdC
1.0
6.201 0.000 0.000
0.000 3.835 0.000
-1.526 0.000 6.145
Ba Pd C
2 2 2
direct
0.000 0.000 0.000
0.339 0.500 0.583
0.513 0.000 0.026
0.769 0.000 0.493
0.466 0.000 0.316
0.862 0.500 0.592
```